This record from Alexandria describes a relaxed Cu2MoF11 crystal. The functional is PBE with a Hubbard U.

Lattice parameters (Å, degrees): 8.3054 8.3054 8.3054 138.05 97.39 97.33
With the nearest neighbours (Å) after each atom.
Sites, in units of the cell vectors:
Cu1 0.1348 0.1869 0.3217  4 F 1.83-1.95
Cu2 0.3652 0.6869 0.0520  4 F 1.83-1.95
Cu3 0.6348 0.3131 0.9480  4 F 1.83-1.95
Cu4 0.8652 0.8131 0.6783  4 F 1.83-1.95
Mo1 0.2500 0.7500 0.5000  4 F 1.86
Mo2 0.7500 0.2500 0.5000  4 F 1.86
F1 0.0000 0.0000 0.0000  2 Cu 1.85
F2 0.0298 0.5093 0.2801  1 Mo 1.86
F3 0.0699 0.9496 0.6725  1 Cu 1.95, 1 Mo 2.17
F4 0.2229 0.5504 0.1203  1 Cu 1.95, 1 Mo 2.17
F5 0.2292 0.7497 0.7199  1 Mo 1.86
F6 0.2424 0.8958 0.1382  1 Cu 1.83
F7 0.2576 0.3958 0.6534  1 Cu 1.83
F8 0.2708 0.9907 0.5205  1 Mo 1.86
F9 0.2771 0.3974 0.3275  1 Cu 1.95, 1 Mo 2.17
F10 0.4301 0.1026 0.8797  1 Cu 1.95, 1 Mo 2.17
F11 0.4702 0.7503 0.4795  1 Mo 1.86
F12 0.5000 0.5000 0.0000  2 Cu 1.85
F13 0.5298 0.2497 0.5205  1 Mo 1.86
F14 0.5699 0.8974 0.1203  1 Cu 1.95, 1 Mo 2.17
F15 0.7229 0.6026 0.6725  1 Cu 1.95, 1 Mo 2.17
F16 0.7292 0.0093 0.4795  1 Mo 1.86
F17 0.7424 0.6042 0.3466  1 Cu 1.83
F18 0.7576 0.1042 0.8618  1 Cu 1.83
F19 0.7708 0.2503 0.2801  1 Mo 1.86
F20 0.7771 0.4496 0.8797  1 Cu 1.95, 1 Mo 2.17
F21 0.9301 0.0504 0.3275  1 Cu 1.95, 1 Mo 2.17
F22 0.9702 0.4907 0.7199  1 Mo 1.86

Results
space-group type	Ibam (72)
E	-119.69	eV per cell